Computed, not measured: a relaxed FeTcHg crystal at the PBE level of DFT.

Results
As for the energy: -6.006 eV/atom. The magnetization is 1.4 μB/f.u. Its crystal system is tetragonal. The value obtained for the formation energy is 0.370 eV/atom. For the distance to the lowest polymorph of the same formula, the calculation gives 0.0 meV per atom.

Unit cell a=5.9686 b=5.9686 c=5.9686 alpha=151.96 beta=151.96 gamma=40.07
With the nearest neighbours (Å) after each atom.
Fractional coordinates of all 3 atoms:
Fe  0.0000  0.0000  0.0000  4 Tc 2.46
Tc  0.6226  0.6226  0.0000  4 Fe 2.46
Hg  0.3195  0.3195  0.0000  4 Fe 2.88, 4 Hg 2.89, 4 Tc 3.01



Computed, not measured: a relaxed Fe2TcHg crystal at the PBE level of DFT.

Results
As for the energy: -6.421 eV/atom. The magnetization is 4.1 μB/f.u. Its crystal system is monoclinic. The value obtained for the formation energy is 0.478 eV/atom.

Unit cell a=4.5930 b=4.5930 c=4.9555 alpha=98.22 beta=98.22 gamma=35.41
With the nearest neighbours (Å) after each atom.
Fractional coordinates of all 4 atoms:
Fe  0.2456  0.2456  0.1984  2 Fe 2.42, 3 Tc 2.56-2.63
Fe  0.7544  0.7544  0.8016  2 Fe 2.42, 3 Tc 2.56-2.63
Tc  0.5000  0.5000  0.0000  6 Fe 2.56-2.63, 2 Tc 2.79, 4 Hg 2.84
Hg  0.0000  0.0000  0.5000  2 Hg 2.79, 6 Fe 2.80-2.85, 4 Tc 2.84



Computed, not measured: a relaxed Fe4TcHg crystal at the PBE level of DFT.

Results
As for the energy: -7.120 eV/atom. The magnetization is 8.5 μB/f.u. Its crystal system is cubic. The value obtained for the formation energy is 0.300 eV/atom.

Unit cell a=4.8287 b=4.8287 c=4.8287 alpha=60.00 beta=60.00 gamma=60.00
With the nearest neighbours (Å) after each atom.
Fractional coordinates of all 6 atoms:
Fe  0.3757  0.3757  0.3757  6 Fe 2.40-2.43
Fe  0.3757  0.3757  0.8728  6 Fe 2.40-2.43
Fe  0.3757  0.8728  0.3757  6 Fe 2.40-2.43
Fe  0.8728  0.3757  0.3757  6 Fe 2.40-2.43
Tc  0.7500  0.7500  0.7500  12 Fe 2.83, 4 Hg 2.96
Hg  0.0000  0.0000  0.0000  12 Fe 2.83, 4 Tc 2.96



Computed, not measured: a relaxed FeHgTe2 crystal at the PBE level of DFT.

Results
As for the energy: -3.505 eV/atom. The magnetization is 0.3 μB/f.u. Its crystal system is tetragonal. Its formation energy without anion corrections is 257 meV per atom.

Unit cell a=3.0980 b=3.0980 c=10.0610 alpha=90.00 beta=90.00 gamma=90.00
With the nearest neighbours (Å) after each atom.
Fractional coordinates of all 4 atoms:
Fe  0.0000  0.0000  0.0000  4 Te 2.60, 4 Hg 2.89
Hg  0.5000  0.5000  0.1876  4 Fe 2.89, 4 Hg 3.10
Te  0.0000  0.0000  0.5000  4 Te 3.10
Te  0.5000  0.5000  0.8604  4 Fe 2.60



Computed, not measured: a relaxed FeHgTe2 crystal at the PBE level of DFT.

Results
As for the energy: -3.614 eV/atom. The magnetization is 2.1 μB/f.u. Its crystal system is monoclinic. Its formation energy without anion corrections is 148 meV per atom.

Unit cell a=5.3119 b=5.3119 c=6.4717 alpha=108.37 beta=108.37 gamma=38.19
With the nearest neighbours (Å) after each atom.
Fractional coordinates of all 4 atoms:
Fe  0.0000  0.0000  0.0000  4 Te 2.58-2.59, 1 Hg 2.68
Hg  0.7350  0.7350  0.0091  3 Fe 2.68-2.91
Te  0.3849  0.3849  0.6984  2 Fe 2.58
Te  0.5546  0.5546  0.3130  2 Fe 2.59



Computed, not measured: a relaxed FeHg2Te crystal at the PBE level of DFT.

Results
As for the energy: -2.541 eV/atom. The magnetization is 3.1 μB/f.u. Its crystal system is tetragonal. Its formation energy without anion corrections is 511 meV per atom.

Unit cell a=5.3704 b=5.3704 c=5.3704 alpha=129.49 beta=129.49 gamma=74.22
With the nearest neighbours (Å) after each atom.
Fractional coordinates of all 4 atoms:
Fe  0.0000  0.0000  0.0000  8 Hg 3.14-3.24, 4 Te 3.14
Hg  0.2500  0.7500  0.5000  4 Hg 3.14, 4 Fe 3.14, 4 Te 3.24
Hg  0.5000  0.5000  0.0000  4 Hg 3.14, 4 Te 3.14, 4 Fe 3.24
Te  0.7500  0.2500  0.5000  8 Hg 3.14-3.24, 4 Fe 3.14



Computed, not measured: a relaxed Fe2HgTe crystal at the PBE level of DFT.

Results
As for the energy: -4.703 eV/atom. The magnetization is 5.3 μB/f.u. Its crystal system is orthorhombic. Its formation energy without anion corrections is 389 meV per atom. For the distance to the lowest polymorph of the same formula, the calculation gives 122.8 meV per atom.

Unit cell a=6.3321 b=6.3321 c=6.3321 alpha=152.45 beta=138.17 gamma=50.83
With the nearest neighbours (Å) after each atom.
Fractional coordinates of all 4 atoms:
Fe  0.0000  0.0000  0.0000  2 Fe 2.45, 4 Hg 2.73
Fe  0.8307  0.3307  0.5000  2 Fe 2.45
Hg  0.4763  0.4763  0.0000  6 Fe 2.73-2.81, 2 Hg 3.02
Te  0.2032  0.7032  0.5000  6 Fe 2.77-3.08, 2 Te 3.02



Computed, not measured: a relaxed FeHgTe2 crystal at the PBE level of DFT.

Results
As for the energy: -3.343 eV/atom. The magnetization is 2.7 μB/f.u. Its crystal system is trigonal. Its formation energy without anion corrections is 419 meV per atom.

Unit cell a=12.3312 b=12.3312 c=12.3312 alpha=15.22 beta=15.22 gamma=15.22
With the nearest neighbours (Å) after each atom.
Fractional coordinates of all 4 atoms:
Fe  0.0000  0.0000  0.0000  2 Te 2.52
Hg  0.5000  0.5000  0.5000  6 Hg 3.27
Te  0.0689  0.0689  0.0689  1 Fe 2.52
Te  0.9311  0.9311  0.9311  1 Fe 2.52



What did the sixth record say?
Computed, not measured: a relaxed FeHg2Te crystal at the PBE level of DFT.

Results
As for the energy: -2.541 eV/atom. The magnetization is 3.1 μB/f.u. Its crystal system is tetragonal. Its formation energy without anion corrections is 511 meV per atom.

Unit cell a=5.3704 b=5.3704 c=5.3704 alpha=129.49 beta=129.49 gamma=74.22
With the nearest neighbours (Å) after each atom.
Fractional coordinates of all 4 atoms:
Fe  0.0000  0.0000  0.0000  8 Hg 3.14-3.24, 4 Te 3.14
Hg  0.2500  0.7500  0.5000  4 Hg 3.14, 4 Fe 3.14, 4 Te 3.24
Hg  0.5000  0.5000  0.0000  4 Hg 3.14, 4 Te 3.14, 4 Fe 3.24
Te  0.7500  0.2500  0.5000  8 Hg 3.14-3.24, 4 Fe 3.14



Among the records above, which one has the lowest energy?
Fe4TcHg



What is the energy in the fifth record?
-3.614 eV/atom



What is the energy in the third record?
-7.120 eV/atom